No. 1
Compound: Ta3AgP5
Source: OQMD
Functional: PBE
Structure: optimized geometry

```
data_Ta3AgP5
_space_group_name_H-M_alt 'P 6/m m m'
_space_group_IT_number 191
_space_group_name_Hall '-P 6 2'
_cell_length_a 5.7827
_cell_length_b 5.7827
_cell_length_c 5.8290
_cell_angle_alpha 90.00
_cell_angle_beta 90.00
_cell_angle_gamma 120.00
loop_
_atom_site_label
_atom_site_type_symbol
_atom_site_fract_x
_atom_site_fract_y
_atom_site_fract_z
Ta1 Ta 0.0000 0.5000 0.0000
Ag1 Ag 0.0000 0.0000 0.5000
P1 P 0.0000 0.0000 0.0000
P2 P 0.3333 0.6667 0.3173
```

For the calculated total energy, the calculation gives -66.04 eV/cell. As for the mass density: 7.92 g/cm³. For the spin magnetization, the calculation gives 0.00 μB per atom.

No. 2
Compound: Ag3Te4P
Source: OQMD
Functional: PBE
Structure: optimized geometry

```
data_Ag3Te4P
_space_group_name_H-M_alt 'P m n 21'
_space_group_IT_number 31
_space_group_name_Hall 'P 2ac -2'
_cell_length_a 8.803
_cell_length_b 7.705
_cell_length_c 7.329
_cell_angle_alpha 90.00
_cell_angle_beta 90.00
_cell_angle_gamma 90.00
loop_
_atom_site_label
_atom_site_type_symbol
_atom_site_fract_x
_atom_site_fract_y
_atom_site_fract_z
Ag1 Ag 0.000 0.152 0.000
Ag2 Ag 0.235 0.307 0.454
Te1 Te 0.000 0.118 0.609
Te2 Te 0.000 0.809 0.128
Te3 Te 0.234 0.656 0.579
P1 P 0.000 0.819 0.473
```

For the calculated total energy, the calculation gives -52.75 eV/cell. As for the mass density: 5.78 g/cm³.